VASP calculation (GGA-PBEsol) on an optimized crystal structure of LaHg2.

Summary:
calculated volume	26.2	Å³/atom
density	11.4	g/cm3
total energy	-2.640	eV per atom
energy of formation	-0.48	eV per atom

Unit cell a=3.9769 b=3.9817 c=5.6991 alpha=110.45 beta=110.42 gamma=90.00
Last column: nearest neighbours and their distance in Å.
Element x y z (fractional)
Hg 0.8288 0.8288 0.6575  5 Hg 3.22-3.39, 5 La 3.26-3.29
Hg 0.1712 0.1712 0.3425  5 Hg 3.22-3.39, 5 La 3.26-3.29
La 0.5000 0.5000 0.0000  10 Hg 3.26-3.29

---

VASP calculation (GGA-PBEsol) on an optimized crystal structure of Li3Mn2CrO6.

Summary:
calculated volume	8.3	Å³/atom
density	4.7	g/cm3
total energy	-7.487	eV per atom
ΔE_f (raw)	-1.890	eV/atom

Unit cell a=2.8368 b=5.7598 c=6.4318 alpha=104.52 beta=102.74 gamma=90.00
Last column: nearest neighbours and their distance in Å.
Element x y z (fractional)
O 0.3301 0.4255 0.6601  3 Mn 1.94, 3 Li 2.06-2.08
O 0.6699 0.5745 0.3399  3 Mn 1.94, 3 Li 2.06-2.08
O 0.9928 0.7593 0.9856  2 Cr 1.97, 1 Mn 1.98, 3 Li 2.08-2.12
O 0.6634 0.1041 0.3267  2 Mn 1.97, 1 Cr 1.98, 3 Li 2.06-2.10
O 0.0072 0.2407 0.0144  2 Cr 1.97, 1 Mn 1.98, 3 Li 2.08-2.12
O 0.3366 0.8959 0.6733  2 Mn 1.97, 1 Cr 1.98, 3 Li 2.06-2.10
Mn 0.1700 0.3437 0.3400  6 O 1.94-1.98
Mn 0.8300 0.6563 0.6600  6 O 1.94-1.98
Li 0.1673 0.8379 0.3345  6 O 2.06-2.12
Li 0.5000 0.5000 0.0000  6 O 2.06-2.08
Li 0.8327 0.1621 0.6655  6 O 2.06-2.12
Cr 0.5000 0.0000 0.0000  6 O 1.97-1.98

---

VASP calculation (GGA-PBEsol) on an optimized crystal structure of NiIr2Os.

Summary:
calculated volume	13.2	Å³/atom
density	19.9	g/cm3
total energy	-9.446	eV per atom
energy of formation	0.06	eV per atom
relative energy among the computed polymorphs	0.060	eV per atom

Unit cell a=2.6798 b=3.7364 c=5.2884 alpha=90.00 beta=90.00 gamma=90.00
Last column: nearest neighbours and their distance in Å.
Element x y z (fractional)
Ir 0.5000 0.5000 0.2629  2 Os 2.54-2.74, 4 Ni 2.62, 6 Ir 2.68-2.71
Ir 0.0000 0.0000 0.9907  2 Ni 2.58-2.71, 4 Os 2.64, 6 Ir 2.68-2.71
Ni 0.0000 0.0000 0.5023  6 Ir 2.58-2.71, 4 Os 2.63, 2 Ni 2.68
Os 0.5000 0.5000 0.7440  6 Ir 2.54-2.74, 4 Ni 2.63, 2 Os 2.68